# CeY6Ho | Alexandria via LeMat-Bulk | PBE | relaxed
# ΔE_f, eV per formula unit: 1.423
# M_tot, μB/atom: 0.224
# Symmetry: No. 148
data_CeY6Ho
_symmetry_space_group_name_H-M 'P 1'
_symmetry_Int_Tables_number 1
_symmetry_space_group_name_Hall 'P 1'
_cell_length_a 8.652
_cell_length_b 9.594
_cell_length_c 6.458
_cell_angle_alpha 42.04
_cell_angle_beta 47.96
_cell_angle_gamma 56.31
loop_
_atom_site_label
_atom_site_fract_x
_atom_site_fract_y
_atom_site_fract_z
Ce1 0.000 0.000 0.000
Y1 0.965 0.452 0.834
Y2 0.748 0.965 0.739
Y3 0.452 0.252 0.331
Y4 0.252 0.035 0.261
Y5 0.035 0.548 0.166
Y6 0.548 0.748 0.669
Ho1 0.500 0.500 0.500